Ni2AgW: relaxed, GGA-PBE.

Structure (POSCAR):
```
Ni2AgW
1.0
-0.610 -1.252 4.049
-0.955 -4.084 0.857
2.884 -2.515 1.920
Ag Ni W
1 2 1
Direct
0.500 0.500 0.500
0.000 0.000 0.000
0.750 0.750 0.750
0.250 0.250 0.250
```

NiAg2W: relaxed, GGA-PBE.

Structure (POSCAR):
```
NiAg2W
1.0
-2.637 -2.934 -3.049
-0.190 -2.683 -4.199
1.303 -4.231 1.847
Ag Ni W
2 1 1
Direct
0.003 0.003 0.997
0.497 0.497 0.503
0.750 0.750 0.750
0.250 0.250 0.250
```

Ni2AgW: relaxed, GGA-PBE.

Structure (POSCAR):
```
Ni2AgW
1.0
-4.370 -0.452 -5.098
-2.337 -5.787 2.516
-5.176 -1.756 0.151
Ni Ag W
4 2 2
Direct
0.648 0.125 0.250
0.102 0.625 0.250
0.375 0.352 0.750
0.875 0.898 0.750
0.500 0.500 0.000
0.250 0.750 0.500
0.000 0.000 0.000
0.750 0.250 0.500
```

NiAg2W: relaxed, GGA-PBE.

Structure (POSCAR):
```
NiAg2W
1.0
-0.316 -2.554 0.910
-0.427 -0.858 -2.556
8.149 -1.334 -0.912
Ag Ni W
2 1 1
Direct
0.000 0.000 0.019
0.000 0.000 0.481
0.500 0.500 0.250
0.500 0.500 0.750
```

NiAg2W: relaxed, GGA-PBE.

Structure (POSCAR):
```
NiAg2W
1.0
-4.307 0.470 1.014
0.548 -2.321 3.757
2.528 3.562 -0.851
Ag Ni W
2 1 1
Direct
0.000 0.000 0.000
0.250 0.750 0.500
0.500 0.500 0.000
0.750 0.250 0.500
```

Ni2AgW: relaxed, GGA-PBE.

Structure (POSCAR):
```
Ni2AgW
1.0
-0.120 2.279 1.474
-1.130 -2.416 3.643
4.366 -0.452 1.055
Ag Ni W
1 2 1
Direct
0.500 0.000 0.500
0.000 0.000 0.000
0.000 0.500 0.500
0.500 0.500 0.000
```

| no. | calculated formation energy (eV/atom) | excess energy over the best structure of this formula in the dataset (meV per atom) |
| --- | --- | --- |
| 1 | 0.544 | 438 |
| 2 | 0.518 | 260 |
| 3 | 0.793 | 688 |
| 4 | 0.518 | 261 |
| 5 | 0.668 | 411 |
| 6 | 0.338 | 232 |